(P)
SrSc2Au: optimized geometry, PBE-GGA.

Cell: 5.833 5.833 5.833 Å, 134.04 134.04 67.02°
Fractional coordinates of all 4 atoms:
Au 0.750 0.250 0.500
Sc 0.000 0.000 0.000
Sc 0.250 0.750 0.500
Sr 0.500 0.500 0.000

Computed properties:
SG	I-4m2, No. 119
crystal system	tetragonal
DOS(E_F)	1.816	states/eV/atom

=====

(Q)
SrSc2Au: optimized geometry, PBE-GGA.

Cell: 6.260 6.260 6.260 Å, 138.78 138.78 59.71°
Fractional coordinates of all 4 atoms:
Au 0.750 0.250 0.500
Sc 0.000 0.000 0.000
Sc 0.500 0.500 0.000
Sr 0.250 0.750 0.500

Computed properties:
SG	I4/mmm, No. 139
crystal system	tetragonal
DOS(E_F)	1.572	states/eV/atom

=====

Which of them is the most stable? Correct choice: (Q).

=====

(P)
SrSc3Au: optimized geometry, PBE-GGA.

Cell: 5.334 5.334 5.334 Å, 90.00 90.00 90.00°
Fractional coordinates of all 5 atoms:
Sc 0.000 0.500 0.000
Sc 0.000 0.000 0.500
Sc 0.500 0.000 0.000
Sr 0.500 0.500 0.500
Au 0.000 0.000 0.000

Computed properties:
SG	Pm-3m, No. 221
crystal system	cubic
DOS(E_F)	2.045	states/eV/atom

=====

(Q)
SrSc3Au: optimized geometry, PBE-GGA.

Cell: 5.075 5.075 5.075 Å, 90.00 90.00 90.00°
Fractional coordinates of all 5 atoms:
Sc 0.000 0.500 0.000
Sc 0.000 0.000 0.500
Sc 0.500 0.000 0.000
Sr 0.000 0.000 0.000
Au 0.500 0.500 0.500

Computed properties:
SG	Pm-3m, No. 221
crystal system	cubic
DOS(E_F)	1.056	states/eV/atom

=====

Which of them is the most stable? Correct choice: (P).

=====

(P)
ScTaAu2: optimized geometry, PBE-GGA.

Cell: 5.322 5.322 5.322 Å, 135.11 135.11 65.36°
Fractional coordinates of all 4 atoms:
Au 0.000 0.000 0.000
Au 0.250 0.750 0.500
Sc 0.500 0.500 0.000
Ta 0.750 0.250 0.500

Computed properties:
SG	I-4m2, No. 119
crystal system	tetragonal
DOS(E_F)	1.191	states/eV/atom

=====

(Q)
ScTaAu2: optimized geometry, PBE-GGA.

Cell: 7.567 7.567 6.060 Å, 51.37 51.37 90.00°
Fractional coordinates of all 8 atoms:
Sc 0.500 0.500 0.000
Sc 0.250 0.750 0.500
Au 0.643 0.125 0.250
Au 0.107 0.625 0.250
Au 0.375 0.357 0.750
Au 0.875 0.893 0.750
Ta 0.000 0.000 0.000
Ta 0.750 0.250 0.500

Computed properties:
SG	I-42d, No. 122
crystal system	tetragonal
DOS(E_F)	1.308	states/eV/atom

=====

(R)
ScTaAu2: optimized geometry, PBE-GGA.

Cell: 5.113 5.113 5.123 Å, 79.26 79.26 34.61°
Fractional coordinates of all 4 atoms:
Au 0.001 0.001 0.032
Au 0.748 0.748 0.725
Sc 0.498 0.498 0.532
Ta 0.254 0.254 0.211

Computed properties:
SG	Cm, No. 8
crystal system	monoclinic
DOS(E_F)	1.002	states/eV/atom

=====

Which of them is the most stable? Correct choice: (R).

=====

(P)
ScTa3Au: optimized geometry, PBE-GGA.

Cell: 4.975 4.975 4.975 Å, 90.00 90.00 90.00°
Fractional coordinates of all 5 atoms:
Sc 0.500 0.500 0.500
Au 0.000 0.000 0.000
Ta 0.000 0.500 0.000
Ta 0.000 0.000 0.500
Ta 0.500 0.000 0.000

Computed properties:
SG	Pm-3m, No. 221
crystal system	cubic
DOS(E_F)	1.800	states/eV/atom

=====

(Q)
ScTa3Au: optimized geometry, PBE-GGA.

Cell: 4.712 4.712 4.712 Å, 90.00 90.00 90.00°
Fractional coordinates of all 5 atoms:
Sc 0.000 0.000 0.000
Au 0.500 0.500 0.500
Ta 0.000 0.500 0.000
Ta 0.000 0.000 0.500
Ta 0.500 0.000 0.000

Computed properties:
SG	Pm-3m, No. 221
crystal system	cubic
DOS(E_F)	1.519	states/eV/atom

=====

Which of them is the most stable? Correct choice: (P).

=====

(P)
Sc3TaAu: optimized geometry, PBE-GGA.

Cell: 5.077 5.077 5.077 Å, 90.00 90.00 90.00°
Fractional coordinates of all 5 atoms:
Sc 0.000 0.500 0.000
Sc 0.000 0.000 0.500
Sc 0.500 0.000 0.000
Au 0.000 0.000 0.000
Ta 0.500 0.500 0.500

Computed properties:
SG	Pm-3m, No. 221
crystal system	cubic
DOS(E_F)	1.815	states/eV/atom

=====

(Q)
Sc3TaAu: optimized geometry, PBE-GGA.

Cell: 5.060 5.060 5.060 Å, 90.00 90.00 90.00°
Fractional coordinates of all 5 atoms:
Sc 0.000 0.500 0.000
Sc 0.000 0.000 0.500
Sc 0.500 0.000 0.000
Au 0.500 0.500 0.500
Ta 0.000 0.000 0.000

Computed properties:
SG	Pm-3m, No. 221
crystal system	cubic
DOS(E_F)	0.679	states/eV/atom

=====

Which of them is the most stable? Correct choice: (P).

=====

(P)
Sc2TaAu2: optimized geometry, PBE-GGA.

Cell: 8.020 8.020 8.020 Å, 152.78 152.78 38.88°
Fractional coordinates of all 5 atoms:
Sc 0.601 0.601 0.000
Sc 0.399 0.399 0.000
Ta 0.000 0.000 0.000
Au 0.250 0.750 0.500
Au 0.750 0.250 0.500

Computed properties:
SG	I4/mmm, No. 139
crystal system	tetragonal
DOS(E_F)	1.256	states/eV/atom

=====

(Q)
Sc2TaAu2: optimized geometry, PBE-GGA.

Cell: 4.277 4.277 6.533 Å, 70.89 70.89 90.00°
Fractional coordinates of all 5 atoms:
Sc 0.750 0.250 0.500
Sc 0.250 0.750 0.500
Au 0.390 0.390 0.220
Au 0.610 0.610 0.780
Ta 0.000 0.000 0.000

Computed properties:
SG	I4/mmm, No. 139
crystal system	tetragonal
DOS(E_F)	1.203	states/eV/atom

=====

Which of them is the most stable? Correct choice: (P).

=====

(P)
TbSc2Au: optimized geometry, PBE-GGA.

Cell: 3.476 3.476 7.905 Å, 90.00 90.00 90.00°
Fractional coordinates of all 4 atoms:
Sc 0.000 0.000 0.797
Sc 0.000 0.000 0.203
Tb 0.500 0.500 0.500
Au 0.500 0.500 0.000

Computed properties:
SG	P4/mmm, No. 123
crystal system	tetragonal
DOS(E_F)	1.505	states/eV/atom

=====

(Q)
TbSc2Au: optimized geometry, PBE-GGA.

Cell: 3.527 3.527 9.643 Å, 79.46 79.46 60.00°
Fractional coordinates of all 4 atoms:
Tb 0.501 0.501 0.496
Sc 0.069 0.069 0.793
Sc 0.264 0.264 0.209
Au 0.666 0.666 0.003

Computed properties:
SG	R3m, No. 160
crystal system	trigonal
DOS(E_F)	1.432	states/eV/atom

=====

Which of them is the most stable? Correct choice: (P).

=====

(P)
TbSc2Au: optimized geometry, PBE-GGA.

Cell: 4.638 4.458 4.458 Å, 90.00 90.00 90.00°
Fractional coordinates of all 4 atoms:
Sc 0.000 0.000 0.500
Sc 0.000 0.500 0.000
Tb 0.500 0.500 0.500
Au 0.500 0.000 0.000

Computed properties:
SG	P4/mmm, No. 123
crystal system	tetragonal
DOS(E_F)	1.549	states/eV/atom

=====

(Q)
TbSc2Au: optimized geometry, PBE-GGA.

Cell: 5.024 5.024 5.024 Å, 60.00 60.00 60.00°
Fractional coordinates of all 4 atoms:
Sc 0.750 0.750 0.750
Sc 0.250 0.250 0.250
Tb 0.000 0.000 0.000
Au 0.500 0.500 0.500

Computed properties:
SG	Fm-3m, No. 225
crystal system	cubic
DOS(E_F)	1.496	states/eV/atom

=====

(R)
TbSc2Au: optimized geometry, PBE-GGA.

Cell: 4.736 6.075 7.482 Å, 90.00 90.00 112.94°
Fractional coordinates of all 8 atoms:
Tb 0.945 0.889 0.250
Tb 0.055 0.111 0.750
Sc 0.352 0.703 0.543
Sc 0.648 0.297 0.457
Sc 0.352 0.703 0.957
Sc 0.648 0.297 0.043
Au 0.792 0.585 0.750
Au 0.208 0.415 0.250

Computed properties:
SG	Cmcm, No. 63
crystal system	orthorhombic
DOS(E_F)	1.584	states/eV/atom

=====

Which of them is the most stable? Correct choice: (R).

=====

(P)
Tb2ScAu2: optimized geometry, PBE-GGA.

Cell: 3.928 6.060 6.060 Å, 68.86 71.09 71.09°
Fractional coordinates of all 5 atoms:
Tb 0.202 0.298 0.298
Tb 0.798 0.702 0.702
Sc 0.000 0.000 0.000
Au 0.500 0.284 0.716
Au 0.500 0.716 0.284

Computed properties:
SG	Immm, No. 71
crystal system	orthorhombic
DOS(E_F)	1.260	states/eV/atom

=====

(Q)
Tb2ScAu2: optimized geometry, PBE-GGA.

Cell: 3.742 8.077 8.077 Å, 90.00 90.00 90.00°
Fractional coordinates of all 10 atoms:
Tb 0.000 0.666 0.334
Tb 0.000 0.834 0.834
Tb 0.000 0.166 0.166
Tb 0.000 0.334 0.666
Sc 0.500 0.500 0.000
Sc 0.500 0.000 0.500
Au 0.500 0.366 0.366
Au 0.500 0.866 0.134
Au 0.500 0.134 0.866
Au 0.500 0.634 0.634

Computed properties:
SG	P4/mbm, No. 127
crystal system	tetragonal
DOS(E_F)	1.385	states/eV/atom

=====

Which of them is the most stable? Correct choice: (Q).

=====

(P)
Tb2ScAu3: optimized geometry, PBE-GGA.

Cell: 5.019 5.019 12.342 Å, 90.00 90.00 120.00°
Fractional coordinates of all 12 atoms:
Tb 0.000 0.000 0.500
Tb 0.333 0.667 0.173
Tb 0.667 0.333 0.827
Tb 0.000 0.000 0.000
Sc 0.333 0.667 0.664
Sc 0.667 0.333 0.336
Au 0.333 0.667 0.420
Au 0.667 0.333 0.091
Au 0.000 0.000 0.744
Au 0.000 0.000 0.256
Au 0.333 0.667 0.909
Au 0.667 0.333 0.580

Computed properties:
SG	P-3m1, No. 164
crystal system	trigonal
DOS(E_F)	0.617	states/eV/atom

=====

(Q)
Tb2ScAu3: optimized geometry, PBE-GGA.

Cell: 3.520 3.520 10.778 Å, 90.00 90.00 90.00°
Fractional coordinates of all 6 atoms:
Tb 0.500 0.500 0.827
Tb 0.500 0.500 0.173
Sc 0.500 0.500 0.500
Au 0.000 0.000 0.000
Au 0.000 0.000 0.649
Au 0.000 0.000 0.351

Computed properties:
SG	P4/mmm, No. 123
crystal system	tetragonal
DOS(E_F)	0.398	states/eV/atom

=====

Which of them is the most stable? Correct choice: (Q).

=====

(P)
TbScAu: optimized geometry, PBE-GGA.

Cell: 4.830 4.830 8.421 Å, 73.33 73.33 60.00°
Fractional coordinates of all 6 atoms:
Tb 0.122 0.122 0.635
Tb 0.878 0.878 0.365
Sc 0.628 0.628 0.115
Sc 0.372 0.372 0.885
Au 0.746 0.746 0.763
Au 0.254 0.254 0.237

Computed properties:
SG	R-3m, No. 166
crystal system	trigonal
DOS(E_F)	1.285	states/eV/atom

=====

(Q)
TbScAu: optimized geometry, PBE-GGA.

Cell: 3.790 4.735 4.735 Å, 120.00 90.00 90.00°
Fractional coordinates of all 3 atoms:
Sc 0.212 0.333 0.667
Tb 0.696 0.667 0.333
Au 0.092 0.000 0.000

Computed properties:
SG	P3m1, No. 156
crystal system	trigonal
DOS(E_F)	0.903	states/eV/atom

=====

Which of them is the most stable? Correct choice: (Q).

=====

(P)
TbScAu: optimized geometry, PBE-GGA.

Cell: 7.242 8.697 8.697 Å, 66.92 65.40 65.40°
Fractional coordinates of all 18 atoms:
Tb 0.163 0.046 0.546
Tb 0.754 0.954 0.454
Tb 0.344 0.750 0.250
Tb 0.344 0.250 0.750
Tb 0.754 0.454 0.954
Tb 0.163 0.546 0.046
Sc 0.009 0.000 0.000
Sc 0.009 0.500 0.500
Sc 0.753 0.372 0.372
Sc 0.498 0.628 0.628
Sc 0.498 0.128 0.128
Sc 0.753 0.872 0.872
Au 0.754 0.250 0.750
Au 0.754 0.750 0.250
Au 0.086 0.167 0.167
Au 0.420 0.833 0.833
Au 0.420 0.333 0.333
Au 0.086 0.667 0.667

Computed properties:
SG	Amm2, No. 38
crystal system	orthorhombic
DOS(E_F)	0.737	states/eV/atom

=====

(Q)
TbScAu: optimized geometry, PBE-GGA.

Cell: 4.843 4.843 4.843 Å, 60.00 60.00 60.00°
Fractional coordinates of all 3 atoms:
Sc 0.500 0.500 0.500
Tb 0.000 0.000 0.000
Au 0.250 0.250 0.250

Computed properties:
SG	F-43m, No. 216
crystal system	cubic
DOS(E_F)	1.332	states/eV/atom

=====

Which of them is the most stable? Correct choice: (P).